1.
This record from the Alexandria database describes a relaxed SrPrSi4 crystal. The functional is PBE.

```
6
Lattice="-2.188 2.188 6.849 2.188 -2.188 6.849 2.188 2.188 -6.849" Properties=species:S:1:pos:R:3 pbc="T T T"
Sr 0.000 0.000 0.000
Pr 0.000 2.188 3.425
Si 2.188 0.000 2.279
Si 2.188 0.000 4.570
Si 0.000 0.000 5.668
Si 0.000 0.000 8.031
```

Calculated values
Uncorrected formation energy   -46.30 kJ per mole of atoms
Space-group type   I-4m2 (119)
E_tot   -5.17 eV/atom



2.
This record from the Alexandria database describes a relaxed KTlTc3 crystal. The functional is PBE.

```
5
Lattice="4.645 0.000 0.000 0.000 4.645 0.000 0.000 0.000 4.645" Properties=species:S:1:pos:R:3 pbc="T T T"
K 0.000 0.000 0.000
Tl 2.322 2.322 2.322
Tc 0.000 0.000 2.322
Tc 0.000 2.322 0.000
Tc 2.322 0.000 0.000
```

Calculated values
Relative energy among the computed polymorphs   0.641 eV/atom
Space-group type   Pm-3m (221)
E_tot   -3.95 eV/atom



3.
This record from the Alexandria database describes a relaxed SrCu2Ir2 crystal. The functional is PBE.

```
5
Lattice="-1.981 1.981 5.677 1.981 -1.981 5.677 1.981 1.981 -5.677" Properties=species:S:1:pos:R:3 pbc="T T T"
Sr 0.000 0.000 0.000
Cu 0.000 0.000 4.438
Cu 0.000 0.000 6.916
Ir 1.981 0.000 2.839
Ir 0.000 1.981 2.839
```

Calculated values
Relative energy among the computed polymorphs   0.000 eV/atom
Space-group type   I4/mmm (139)
E_tot   -5.38 eV/atom



4.
This record from the Alexandria database describes a relaxed AlBS crystal. The functional is PBE.

```
6
Lattice="4.371 0.000 0.000 0.000 3.269 0.000 -0.578 0.000 6.385" Properties=species:S:1:pos:R:3 pbc="T T T"
Al 0.000 0.000 0.000
Al 0.752 1.635 2.385
B 2.845 1.635 1.773
B 3.292 0.000 2.327
S 0.076 0.000 3.925
S 2.159 1.635 6.208
```

Calculated values
Uncorrected formation energy   -16.16 kJ per mole of atoms
Relative energy among the computed polymorphs   0.211 eV/atom
Space-group type   Pm (6)
E_tot   -5.02 eV/atom



no.,magnetic moment (μB/atom),D(E_F) (states/eV/cell)
1,0.00,3.33
2,0.66,5.87
3,0.00,6.75
4,0.00,0.70